Below is a relaxed Ti2GaC crystal, with properties calculated at the PBE level.

The space group is R-3m (No. 166, hexagonal axes) and the conventional cell measures 3.0800, 3.0800 and 20.1828 Å, with angles of 90.00, 90.00 and 120.00 degrees. Symmetry generates all atoms from Ti at (0.0000, 0.0000, 0.2234), Ga at (0.0000, 0.0000, 0.0000) and C at (0.0000, 0.0000, 0.5000).

For the formation energy, the calculation gives -2.9 eV/f.u. The calculation puts the total magnetic moment at 0.0 μB per formula unit.